Density functional theory data (PBE-GGA) for a relaxed Dy3InRh8 crystal.

Lattice parameters (Å, degrees): 5.3016 5.3016 9.2366 73.32 73.32 60.00
Atoms (fractional coordinates):
Rh 0.1879 0.1879 0.4363
Dy 0.9960 0.9960 0.0120
Rh 0.4372 0.4372 0.1877
Rh 0.4372 0.9379 0.1877
Dy 0.3756 0.3756 0.8732
Rh 0.4384 0.9374 0.6867
In 0.8737 0.8737 0.3790
Rh 0.9374 0.4384 0.6867
Dy 0.5035 0.5035 0.4896
Rh 0.6878 0.6878 0.9367
Rh 0.9374 0.9374 0.6867
Rh 0.9379 0.4372 0.1877

Summary:
Uncorrected energy, eV per atom: -6.898
Volume, A^3/atom: 17.68
ΔE_f, meV per atom: -618.0